(1)
Below is a relaxed Na2AgTe2S6 crystal, with properties calculated at the PBE level.

Computed properties:
SG: C2/m
N(E_F) (states/eV per cell): 6.1
Theoretical density (g/cm³): 3.7
Final energy (eV/atom): -3.5934

Unit cell a=6.8057 b=6.8057 c=7.2417 alpha=98.72 beta=98.72 gamma=121.79
Sites, in units of the cell vectors:
Na: 0.1581 0.8419 0.0000
Na: 0.8419 0.1581 0.0000
Ag: 0.0000 0.0000 0.5000
Te: 0.3295 0.6705 0.5000
Te: 0.6705 0.3295 0.5000
S: 0.0659 0.4260 0.7235
S: 0.2405 0.2405 0.2932
S: 0.4260 0.0659 0.7235
S: 0.5740 0.9341 0.2765
S: 0.7595 0.7595 0.7068
S: 0.9341 0.5740 0.2765

=====

(2)
Below is a relaxed HfHIr2 crystal, with properties calculated at the PBE level.

Computed properties:
SG: Fm-3m
N(E_F) (states/eV per cell): 1.7
Theoretical density (g/cm³): 16.3
Final energy (eV/atom): -7.6832

Unit cell a=4.3328 b=4.3328 c=4.3328 alpha=60.00 beta=60.00 gamma=60.00
Sites, in units of the cell vectors:
Hf: 0.0000 0.0000 0.0000
H: 0.5000 0.5000 0.5000
Ir: 0.2500 0.2500 0.2500
Ir: 0.7500 0.7500 0.7500

=====

(3)
Below is a relaxed Be2Pb crystal, with properties calculated at the PBE level.

Computed properties:
Formation energy from the elements (eV/atom): 0.21
SG: C2/m
N(E_F) (states/eV per cell): 1.9
Theoretical density (g/cm³): 7.4

Unit cell a=3.6012 b=3.6012 c=9.3190 alpha=102.80 beta=102.80 gamma=59.37
Sites, in units of the cell vectors:
Be: 0.0405 0.0405 0.1079
Be: 0.3344 0.3344 0.0016
Be: 0.6656 0.6656 0.9984
Be: 0.9595 0.9595 0.8921
Pb: 0.2147 0.2147 0.6811
Pb: 0.7853 0.7853 0.3189